No. 1
# PBE VPd5Au, relaxed
# crystal system: monoclinic
# N(E_F): 21.0 states/eV per cell
# energy above the most stable polymorph in this dataset: 0.044 eV per atom
# ΔE_f: 0.0 eV/f.u.
data_VPd5Au
_cell_length_a 9.4377
_cell_length_b 5.4155
_cell_length_c 8.9596
_cell_angle_alpha 90.00
_cell_angle_beta 91.87
_cell_angle_gamma 90.00
_space_group_name_H-M_alt 'C 1 2/c 1'
_space_group_IT_number 15
loop_
_space_group_symop_operation_xyz
'x,y,z'
'-x,-y,-z'
'-x,y,-z+1/2'
'x,-y,z+1/2'
'x+1/2,y+1/2,z'
'-x+1/2,-y+1/2,-z'
'-x+1/2,y+1/2,-z+1/2'
'x+1/2,-y+1/2,z+1/2'
loop_
_atom_site_label
_atom_site_fract_x
_atom_site_fract_y
_atom_site_fract_z
V1 0.0000 0.1787 0.2500
Pd1 0.0000 0.2476 0.7500
Pd2 0.1435 0.0098 0.5012
Pd3 0.2141 0.3809 0.2414
Au1 0.0000 0.5000 0.0000

---

No. 2
# PBE VPd2Au2, relaxed
# crystal system: tetragonal
# N(E_F): 10.7 states/eV per cell
# energy above the most stable polymorph in this dataset: 0.000 eV per atom
# ΔE_f: -0.7 eV/f.u.
data_VPd2Au2
_cell_length_a 2.8387
_cell_length_b 2.8387
_cell_length_c 19.8475
_cell_angle_alpha 90.00
_cell_angle_beta 90.00
_cell_angle_gamma 90.00
_space_group_name_H-M_alt 'I 4/m m m'
_space_group_IT_number 139
_space_group_name_Hall '-I 4 2'
loop_
_atom_site_label
_atom_site_fract_x
_atom_site_fract_y
_atom_site_fract_z
V1 0.0000 0.0000 0.0000
Pd1 0.0000 0.0000 0.4118
Au1 0.0000 0.0000 0.1952

---

No. 3
# PBE VPd2Au6, relaxed
# crystal system: monoclinic
# N(E_F): 14.3 states/eV per cell
# energy above the most stable polymorph in this dataset: 0.000 eV per atom
# ΔE_f: -0.6 eV/f.u.
data_VPd2Au6
_cell_length_a 12.3775
_cell_length_b 3.9975
_cell_length_c 6.5309
_cell_angle_alpha 90.00
_cell_angle_beta 108.57
_cell_angle_gamma 90.00
_space_group_name_H-M_alt 'C 1 2/m 1'
_space_group_IT_number 12
loop_
_space_group_symop_operation_xyz
'x,y,z'
'-x,-y,-z'
'-x,y,-z'
'x,-y,z'
'x+1/2,y+1/2,z'
'-x+1/2,-y+1/2,-z'
'-x+1/2,y+1/2,-z'
'x+1/2,-y+1/2,z'
loop_
_atom_site_label
_atom_site_fract_x
_atom_site_fract_y
_atom_site_fract_z
V1 0.0000 0.0000 0.0000
Pd1 0.0525 0.5000 0.3241
Au1 0.1079 0.0000 0.6708
Au2 0.1608 0.5000 0.0038
Au3 0.2194 0.0000 0.3331

---

No. 4
# PBE V2PdAu, relaxed
# crystal system: tetragonal
# N(E_F): 3.6 states/eV per cell
# ΔE_f: -0.3 eV/f.u.
data_V2PdAu
_cell_length_a 3.8272
_cell_length_b 3.8272
_cell_length_c 4.0523
_cell_angle_alpha 90.00
_cell_angle_beta 90.00
_cell_angle_gamma 90.00
_space_group_name_H-M_alt 'P 4/m m m'
_space_group_IT_number 123
_space_group_name_Hall '-P 4 2'
loop_
_atom_site_label
_atom_site_fract_x
_atom_site_fract_y
_atom_site_fract_z
V1 0.0000 0.5000 0.0000
Pd1 0.0000 0.0000 0.5000
Au1 0.5000 0.5000 0.5000

---

No. 5
# PBE VPd9Au2, relaxed
# crystal system: tetragonal
# N(E_F): 14.5 states/eV per cell
# ΔE_f: -1.6 eV/f.u.
data_VPd9Au2
_cell_length_a 3.9602
_cell_length_b 3.9602
_cell_length_c 11.9111
_cell_angle_alpha 90.00
_cell_angle_beta 90.00
_cell_angle_gamma 90.00
_space_group_name_H-M_alt 'P 4/m m m'
_space_group_IT_number 123
_space_group_name_Hall '-P 4 2'
loop_
_atom_site_label
_atom_site_fract_x
_atom_site_fract_y
_atom_site_fract_z
V1 0.0000 0.0000 0.0000
Pd1 0.0000 0.5000 0.1545
Pd2 0.0000 0.5000 0.5000
Pd3 0.5000 0.5000 0.0000
Pd4 0.5000 0.5000 0.3266
Au1 0.0000 0.0000 0.3298

---

No. 6
# PBE PdW3Au, relaxed
# crystal system: cubic
# N(E_F): 6.3 states/eV per cell
# energy above the most stable polymorph in this dataset: 0.432 eV per atom
# ΔE_f: 13.5 eV/f.u.
data_PdW3Au
_cell_length_a 4.8037
_cell_length_b 4.8037
_cell_length_c 4.8037
_cell_angle_alpha 90.00
_cell_angle_beta 90.00
_cell_angle_gamma 90.00
_space_group_name_H-M_alt 'P m -3 m'
_space_group_IT_number 221
_space_group_name_Hall '-P 4 2 3'
loop_
_atom_site_label
_atom_site_fract_x
_atom_site_fract_y
_atom_site_fract_z
Pd1 0.0000 0.0000 0.0000
W1 0.0000 0.5000 0.5000
Au1 0.5000 0.5000 0.5000

---

No. 7
# PBE Pd6WAu3, relaxed
# crystal system: trigonal
# N(E_F): 8.0 states/eV per cell
# ΔE_f: 1.2 eV/f.u.
data_Pd6WAu3
_cell_length_a 5.2534
_cell_length_b 5.2534
_cell_length_c 7.1765
_cell_angle_alpha 90.00
_cell_angle_beta 90.00
_cell_angle_gamma 120.00
_space_group_name_H-M_alt 'P -3 1 m'
_space_group_IT_number 162
_space_group_name_Hall '-P 3 2'
loop_
_atom_site_label
_atom_site_fract_x
_atom_site_fract_y
_atom_site_fract_z
Pd1 0.0000 0.4025 0.3204
W1 0.0000 0.0000 0.5000
Au1 0.0000 0.0000 0.0000
Au2 0.3333 0.6667 0.0000

---

No. 8
# PBE PdWAu3, relaxed
# crystal system: cubic
# N(E_F): 3.3 states/eV per cell
# energy above the most stable polymorph in this dataset: 0.000 eV per atom
# ΔE_f: 6.9 eV/f.u.
data_PdWAu3
_cell_length_a 5.0128
_cell_length_b 5.0128
_cell_length_c 5.0128
_cell_angle_alpha 90.00
_cell_angle_beta 90.00
_cell_angle_gamma 90.00
_space_group_name_H-M_alt 'P m -3 m'
_space_group_IT_number 221
_space_group_name_Hall '-P 4 2 3'
loop_
_atom_site_label
_atom_site_fract_x
_atom_site_fract_y
_atom_site_fract_z
Pd1 0.0000 0.0000 0.0000
W1 0.5000 0.5000 0.5000
Au1 0.0000 0.5000 0.5000

---

No. 9
# PBE PdW2Au2, relaxed
# crystal system: tetragonal
# N(E_F): 11.1 states/eV per cell
# energy above the most stable polymorph in this dataset: 0.204 eV per atom
# ΔE_f: 4.2 eV/f.u.
data_PdW2Au2
_cell_length_a 3.7478
_cell_length_b 3.7478
_cell_length_c 13.2563
_cell_angle_alpha 90.00
_cell_angle_beta 90.00
_cell_angle_gamma 90.00
_space_group_name_H-M_alt 'I 4/m m m'
_space_group_IT_number 139
_space_group_name_Hall '-I 4 2'
loop_
_atom_site_label
_atom_site_fract_x
_atom_site_fract_y
_atom_site_fract_z
Pd1 0.0000 0.0000 0.0000
W1 0.0000 0.0000 0.4127
Au1 0.0000 0.5000 0.2500

---

No. 10
# PBE PdWAu3, relaxed
# crystal system: cubic
# N(E_F): 2.8 states/eV per cell
# energy above the most stable polymorph in this dataset: 0.244 eV per atom
# ΔE_f: 8.2 eV/f.u.
data_PdWAu3
_cell_length_a 4.9503
_cell_length_b 4.9503
_cell_length_c 4.9503
_cell_angle_alpha 90.00
_cell_angle_beta 90.00
_cell_angle_gamma 90.00
_space_group_name_H-M_alt 'P m -3 m'
_space_group_IT_number 221
_space_group_name_Hall '-P 4 2 3'
loop_
_atom_site_label
_atom_site_fract_x
_atom_site_fract_y
_atom_site_fract_z
Pd1 0.0000 0.0000 0.0000
W1 0.5000 0.5000 0.5000
Au1 0.0000 0.0000 0.5000

---

No. 11
# PBE PdW2Au, relaxed
# crystal system: tetragonal
# N(E_F): 14.8 states/eV per cell
# energy above the most stable polymorph in this dataset: 0.180 eV per atom
# ΔE_f: 3.6 eV/f.u.
data_PdW2Au
_cell_length_a 7.2804
_cell_length_b 7.2804
_cell_length_c 5.3065
_cell_angle_alpha 90.00
_cell_angle_beta 90.00
_cell_angle_gamma 90.00
_space_group_name_H-M_alt 'I -4 2 d'
_space_group_IT_number 122
_space_group_name_Hall 'I -4 2bw'
loop_
_atom_site_label
_atom_site_fract_x
_atom_site_fract_y
_atom_site_fract_z
Pd1 0.0000 0.0000 0.0000
W1 0.2401 0.7500 0.1250
Au1 0.0000 0.0000 0.5000

---

No. 12
# PBE PdW3Au, relaxed
# crystal system: cubic
# N(E_F): 4.8 states/eV per cell
# energy above the most stable polymorph in this dataset: 0.000 eV per atom
# ΔE_f: 11.3 eV/f.u.
data_PdW3Au
_cell_length_a 4.7028
_cell_length_b 4.7028
_cell_length_c 4.7028
_cell_angle_alpha 90.00
_cell_angle_beta 90.00
_cell_angle_gamma 90.00
_space_group_name_H-M_alt 'P m -3 m'
_space_group_IT_number 221
_space_group_name_Hall '-P 4 2 3'
loop_
_atom_site_label
_atom_site_fract_x
_atom_site_fract_y
_atom_site_fract_z
Pd1 0.0000 0.0000 0.0000
W1 0.0000 0.0000 0.5000
Au1 0.5000 0.5000 0.5000